Here is Ac5Ge4 after structural relaxation from the Alexandria database. Energies are from GGA-PBE.

Results
As for the formation energy: -0.644 eV/atom. The density comes out at 8.263 g/cm³.

a b c (Å): 4.7272 6.4538 10.5857
angles (deg): 74.27 77.10 68.52
Positions (direct):
1 Ac 0.1033 0.1858 0.6075
2 Ac 0.8967 0.8142 0.3925
3 Ac 0.7578 0.6531 0.8314
4 Ac 0.2422 0.3469 0.1686
5 Ac 0.0000 0.0000 0.0000
6 Ge 0.4561 0.2648 0.8230
7 Ge 0.5439 0.7352 0.1770
8 Ge 0.3840 0.6229 0.6091
9 Ge 0.6160 0.3771 0.3909